1.
Density functional theory data (PBE-GGA) for a relaxed Ti2MnHW crystal.

D(E_F) = 1.21 states/eV per atom
Calculated density = 9075 kg/m3
Total magnetization = 0.71 μB/f.u.
Total DFT energy (no corrections) = -0.614 Ry per atom
Volume = 61 Å³/f.u.

Cell and atoms, written as POSCAR:
```
Ti2MnHW
1.0
4.327 0.000 0.000
0.000 4.327 0.000
0.000 0.000 3.279
H Ti W Mn
1 2 1 1
Direct
0.000 0.000 0.000 H
0.000 0.500 0.000 Ti
0.500 0.000 0.000 Ti
0.500 0.500 0.500 W
0.000 0.000 0.500 Mn
```

---

2.
Density functional theory data (PBE-GGA) for a relaxed CePm2Nd crystal.

D(E_F) = 1.72 states/eV per atom
Calculated density = 7133 kg/m3
Total magnetization = 0.21 μB/f.u.
Volume = 134 Å³/f.u.
Calculated formation energy = 0.173 eV/atom
Distance to the lowest polymorph of the same formula = 111 meV/atom

Cell and atoms, written as POSCAR:
```
CePm2Nd
1.0
-2.735 -0.705 2.099
0.550 -1.134 3.285
-0.652 11.177 5.853
Nd Pm Ce
1 2 1
Direct
0.000 0.000 0.000 Nd
0.908 0.908 0.275 Pm
0.092 0.092 0.725 Pm
0.500 0.500 0.500 Ce
```